(1)
This record from Alexandria describes a geometry-optimized SrTh2PaN4 structure. The functional is PBE-GGA.

Summary:
Its uncorrected formation energy is -1.360 eV per atom. Its total magnetization is 0.0 μB/cell. The calculation puts the energy at -140.390 eV for the cell shown.

Cell lengths 5.1351, 5.1351, 10.2826 Å; angles 90.00, 90.00, 90.00 degrees
Atoms (fractional coordinates):
Sr: 0.0000 0.0000 0.0000
Sr: 0.5000 0.5000 0.5000
Th: 0.0000 0.0000 0.5000
Th: 0.0000 0.5000 0.2500
Th: 0.5000 0.0000 0.7500
Th: 0.5000 0.5000 0.0000
Pa: 0.0000 0.5000 0.7500
Pa: 0.5000 0.0000 0.2500
N: 0.0000 0.0000 0.2580
N: 0.0000 0.0000 0.7420
N: 0.0000 0.5000 0.5221
N: 0.0000 0.5000 0.9779
N: 0.5000 0.0000 0.0221
N: 0.5000 0.0000 0.4779
N: 0.5000 0.5000 0.2420
N: 0.5000 0.5000 0.7580

---

(2)
This record from Alexandria describes a geometry-optimized Sr3ThPa2N6 structure. The functional is PBE-GGA.

Summary:
Its uncorrected formation energy is -1.354 eV per atom. Its total magnetization is 0.0 μB/cell. The calculation puts the energy at -97.655 eV for the cell shown.

Cell lengths 6.3282, 6.3282, 6.3767 Å; angles 99.52, 99.52, 120.01 degrees
Atoms (fractional coordinates):
Sr: 0.0000 0.0000 0.0000
Sr: 0.3337 0.6663 0.0000
Sr: 0.6663 0.3337 0.0000
Th: 0.5000 0.5000 0.5000
Pa: 0.1668 0.8332 0.5000
Pa: 0.8332 0.1668 0.5000
N: 0.0848 0.4345 0.3035
N: 0.2156 0.2156 0.6960
N: 0.4345 0.0848 0.3035
N: 0.5655 0.9152 0.6965
N: 0.7844 0.7844 0.3040
N: 0.9152 0.5655 0.6965

---

(3)
This record from Alexandria describes a geometry-optimized Sr2PaTiN4 structure. The functional is PBE-GGA.

Summary:
Its uncorrected formation energy is -1.225 eV per atom. Its total magnetization is 0.0 μB/cell. The calculation puts the energy at -63.856 eV for the cell shown.

Cell lengths 5.8241, 3.4888, 6.2022 Å; angles 90.00, 107.55, 90.00 degrees
Atoms (fractional coordinates):
Sr: 0.0000 0.0000 0.0000
Sr: 0.5000 0.5000 0.0000
Pa: 0.0000 0.5000 0.5000
Ti: 0.5000 0.0000 0.5000
N: 0.2496 0.0000 0.6934
N: 0.2711 0.5000 0.3050
N: 0.7289 0.5000 0.6950
N: 0.7504 0.0000 0.3066

---

(4)
This record from Alexandria describes a geometry-optimized Sr4Pa3TlN8 structure. The functional is PBE-GGA.

Summary:
Its uncorrected formation energy is -1.068 eV per atom. Its total magnetization is 0.0 μB/cell. The calculation puts the energy at -121.277 eV for the cell shown.

Cell lengths 7.3080, 7.3080, 7.3080 Å; angles 60.86, 60.86, 60.86 degrees
Atoms (fractional coordinates):
Sr: 0.0000 0.0000 0.0000
Sr: 0.0000 0.5000 0.5000
Sr: 0.5000 0.0000 0.5000
Sr: 0.5000 0.5000 0.0000
Pa: 0.0000 0.0000 0.5000
Pa: 0.0000 0.5000 0.0000
Pa: 0.5000 0.0000 0.0000
Tl: 0.5000 0.5000 0.5000
N: 0.1806 0.7581 0.7581
N: 0.2385 0.2385 0.2385
N: 0.2419 0.2419 0.8194
N: 0.2419 0.8194 0.2419
N: 0.7581 0.1806 0.7581
N: 0.7581 0.7581 0.1806
N: 0.7615 0.7615 0.7615
N: 0.8194 0.2419 0.2419

---

(5)
This record from Alexandria describes a geometry-optimized Sr3TmPa3N8 structure. The functional is PBE-GGA.

Summary:
Its uncorrected formation energy is -1.363 eV per atom. Its total magnetization is 0.0 μB/cell. The calculation puts the energy at -125.059 eV for the cell shown.

Cell lengths 7.2821, 7.2821, 7.2821 Å; angles 58.52, 58.52, 58.52 degrees
Atoms (fractional coordinates):
Sr: 0.0000 0.5000 0.5000
Sr: 0.5000 0.0000 0.5000
Sr: 0.5000 0.5000 0.0000
Tm: 0.5000 0.5000 0.5000
Pa: 0.0000 0.0000 0.5000
Pa: 0.0000 0.5000 0.0000
Pa: 0.5000 0.0000 0.0000
N: 0.2209 0.7307 0.7307
N: 0.2359 0.2359 0.2359
N: 0.2693 0.2693 0.7791
N: 0.2693 0.7791 0.2693
N: 0.7307 0.2209 0.7307
N: 0.7307 0.7307 0.2209
N: 0.7641 0.7641 0.7641
N: 0.7791 0.2693 0.2693

---

(6)
This record from Alexandria describes a geometry-optimized Sr2TmPaN4 structure. The functional is PBE-GGA.

Summary:
Its uncorrected formation energy is -1.390 eV per atom. Its total magnetization is 0.0 μB/cell. The calculation puts the energy at -61.754 eV for the cell shown.

Cell lengths 6.1148, 3.6073, 6.3406 Å; angles 90.00, 108.56, 90.00 degrees
Atoms (fractional coordinates):
Sr: 0.0000 0.0000 0.0000
Sr: 0.5000 0.5000 0.0000
Tm: 0.0000 0.5000 0.5000
Pa: 0.5000 0.0000 0.5000
N: 0.2504 0.0000 0.7033
N: 0.2736 0.5000 0.2970
N: 0.7264 0.5000 0.7030
N: 0.7496 0.0000 0.2967

---

(7)
This record from Alexandria describes a geometry-optimized Sr3UPa2N6 structure. The functional is PBE-GGA.

Summary:
Its uncorrected formation energy is -1.282 eV per atom. Its total magnetization is 1.2 μB/cell. The calculation puts the energy at -100.666 eV for the cell shown.

Cell lengths 6.2286, 6.2286, 6.3258 Å; angles 99.45, 99.45, 120.00 degrees
Atoms (fractional coordinates):
Sr: 0.0000 0.0000 0.0000
Sr: 0.3333 0.6667 0.0000
Sr: 0.6667 0.3333 0.0000
U: 0.5000 0.5000 0.5000
Pa: 0.1666 0.8334 0.5000
Pa: 0.8334 0.1666 0.5000
N: 0.1094 0.4370 0.3112
N: 0.2350 0.2350 0.6890
N: 0.4370 0.1094 0.3112
N: 0.5630 0.8906 0.6888
N: 0.7650 0.7650 0.3110
N: 0.8906 0.5630 0.6888

---

(8)
This record from Alexandria describes a geometry-optimized Sr2UPaN4 structure. The functional is PBE-GGA.

Summary:
Its uncorrected formation energy is -1.247 eV per atom. Its total magnetization is 1.7 μB/cell. The calculation puts the energy at -67.422 eV for the cell shown.

Cell lengths 6.2132, 3.5907, 6.3243 Å; angles 90.00, 108.94, 90.00 degrees
Atoms (fractional coordinates):
Sr: 0.0000 0.0000 0.0000
Sr: 0.5000 0.5000 0.0000
U: 0.0000 0.5000 0.5000
Pa: 0.5000 0.0000 0.5000
N: 0.2271 0.0000 0.6900
N: 0.2654 0.5000 0.3101
N: 0.7346 0.5000 0.6899
N: 0.7729 0.0000 0.3100

---

(9)
This record from Alexandria describes a geometry-optimized SrUPa4N8 structure. The functional is PBE-GGA.

Summary:
Its uncorrected formation energy is -1.343 eV per atom. Its total magnetization is 3.6 μB/cell. The calculation puts the energy at -136.356 eV for the cell shown.

Cell lengths 6.9393, 6.9393, 6.9393 Å; angles 61.00, 61.00, 61.00 degrees
Atoms (fractional coordinates):
Sr: 0.0000 0.0000 0.0000
U: 0.3824 0.3824 0.3824
Pa: 0.9999 0.9999 0.4989
Pa: 0.9999 0.4989 0.9999
Pa: 0.4989 0.9999 0.9999
Pa: 0.6160 0.6160 0.6160
N: 0.2257 0.7413 0.7413
N: 0.2369 0.2369 0.2369
N: 0.2588 0.2588 0.7791
N: 0.2588 0.7791 0.2588
N: 0.7413 0.2257 0.7413
N: 0.7413 0.7413 0.2257
N: 0.7603 0.7603 0.7603
N: 0.7791 0.2588 0.2588

---

(10)
This record from Alexandria describes a geometry-optimized SrU4PaN8 structure. The functional is PBE-GGA.

Summary:
Its uncorrected formation energy is -1.182 eV per atom. Its total magnetization is 7.0 μB/cell. The calculation puts the energy at -139.483 eV for the cell shown.

Cell lengths 6.9190, 6.9190, 6.9190 Å; angles 59.82, 59.82, 59.82 degrees
Atoms (fractional coordinates):
Sr: 0.0000 0.0000 0.0000
U: 0.0009 0.0009 0.5005
U: 0.0009 0.5005 0.0009
U: 0.5005 0.0009 0.0009
U: 0.6205 0.6205 0.6205
Pa: 0.3816 0.3816 0.3816
N: 0.2232 0.7407 0.7407
N: 0.2425 0.2425 0.2425
N: 0.2585 0.2585 0.7762
N: 0.2585 0.7762 0.2585
N: 0.7407 0.2232 0.7407
N: 0.7407 0.7407 0.2232
N: 0.7618 0.7618 0.7618
N: 0.7762 0.2585 0.2585

---

(11)
This record from Alexandria describes a geometry-optimized Sr4UPa3N8 structure. The functional is PBE-GGA.

Summary:
Its uncorrected formation energy is -1.301 eV per atom. Its total magnetization is 1.5 μB/cell. The calculation puts the energy at -133.914 eV for the cell shown.

Cell lengths 7.2860, 7.2860, 7.2860 Å; angles 59.24, 59.24, 59.24 degrees
Atoms (fractional coordinates):
Sr: 0.0000 0.0000 0.0000
Sr: 0.0000 0.5000 0.5000
Sr: 0.5000 0.0000 0.5000
Sr: 0.5000 0.5000 0.0000
U: 0.5000 0.5000 0.5000
Pa: 0.0000 0.0000 0.5000
Pa: 0.0000 0.5000 0.0000
Pa: 0.5000 0.0000 0.0000
N: 0.2302 0.2302 0.2302
N: 0.2350 0.7272 0.7272
N: 0.2728 0.2728 0.7650
N: 0.2728 0.7650 0.2728
N: 0.7272 0.2350 0.7272
N: 0.7272 0.7272 0.2350
N: 0.7650 0.2728 0.2728
N: 0.7698 0.7698 0.7698

---

(12)
This record from Alexandria describes a geometry-optimized SrPa2VN4 structure. The functional is PBE-GGA.

Summary:
Its uncorrected formation energy is -1.247 eV per atom. Its total magnetization is 2.6 μB/cell. The calculation puts the energy at -146.142 eV for the cell shown.

Cell lengths 6.2349, 6.2349, 11.8258 Å; angles 90.00, 90.00, 147.43 degrees
Atoms (fractional coordinates):
Sr: 0.0897 0.9103 0.7500
Sr: 0.9103 0.0897 0.2500
Pa: 0.3679 0.6321 0.5504
Pa: 0.3679 0.6321 0.9496
Pa: 0.6321 0.3679 0.0504
Pa: 0.6321 0.3679 0.4496
V: 0.1746 0.8254 0.2500
V: 0.8254 0.1746 0.7500
N: 0.0000 0.0000 0.0000
N: 0.0000 0.0000 0.5000
N: 0.2618 0.7382 0.1139
N: 0.2618 0.7382 0.3861
N: 0.4148 0.5852 0.7500
N: 0.5852 0.4148 0.2500
N: 0.7382 0.2618 0.6139
N: 0.7382 0.2618 0.8861